DFT (PBEsol) results for a relaxed Y2ScZn crystal.

Lattice parameters (Å, degrees): 3.419 3.419 8.363 90.00 90.00 90.00
Sites, in units of the cell vectors:
Y 0.000 0.000 0.983
Y 0.500 0.500 0.295
Sc 0.500 0.500 0.699
Zn 0.000 0.000 0.523

---

DFT (PBEsol) results for a relaxed Y2ScZn crystal.

Lattice parameters (Å, degrees): 3.467 3.467 8.174 90.00 90.00 90.00
Sites, in units of the cell vectors:
Y 0.000 0.000 0.783
Y 0.000 0.000 0.217
Sc 0.500 0.500 0.500
Zn 0.500 0.500 0.000

---

DFT (PBEsol) results for a relaxed Y2ZrSc crystal.

Lattice parameters (Å, degrees): 3.330 5.134 6.416 90.00 105.04 90.00
Sites, in units of the cell vectors:
Y 0.081 0.000 0.163
Y 0.422 0.500 0.844
Sc 0.695 0.500 0.389
Zr 0.812 0.000 0.625

---

DFT (PBEsol) results for a relaxed Y2ZrSc crystal.

Lattice parameters (Å, degrees): 3.324 3.324 9.481 90.00 90.00 90.00
Sites, in units of the cell vectors:
Y 0.000 0.000 0.990
Y 0.500 0.500 0.269
Sc 0.500 0.500 0.730
Zr 0.000 0.000 0.512

---

DFT (PBEsol) results for a relaxed YZr2Sc crystal.

Lattice parameters (Å, degrees): 3.201 5.537 5.743 98.50 90.00 106.80
Sites, in units of the cell vectors:
Sc 0.505 0.010 0.516
Y 0.749 0.498 0.250
Zr 0.996 0.991 0.978
Zr 0.250 0.501 0.757

---

DFT (PBEsol) results for a relaxed YZrSc2 crystal.

Lattice parameters (Å, degrees): 3.254 3.254 9.286 90.00 90.00 90.00
Sites, in units of the cell vectors:
Y 0.000 0.000 0.507
Sc 0.000 0.000 0.991
Sc 0.500 0.500 0.240
Zr 0.500 0.500 0.762

---

DFT (PBEsol) results for a relaxed YZrSc2 crystal.

Lattice parameters (Å, degrees): 3.213 5.021 6.283 90.00 104.82 90.00
Sites, in units of the cell vectors:
Y 0.074 0.000 0.148
Sc 0.819 0.000 0.638
Sc 0.691 0.500 0.383
Zr 0.418 0.500 0.836

---

DFT (PBEsol) results for a relaxed YZrSc2 crystal.

Lattice parameters (Å, degrees): 4.608 4.608 5.624 114.19 114.19 90.00
Sites, in units of the cell vectors:
Y 0.000 0.000 0.000
Sc 0.500 0.500 0.000
Sc 0.750 0.250 0.500
Zr 0.250 0.750 0.500

---

DFT (PBEsol) results for a relaxed YZrSc2 crystal.

Lattice parameters (Å, degrees): 4.550 4.622 4.622 90.00 90.00 90.00
Sites, in units of the cell vectors:
Y 0.500 0.500 0.500
Sc 0.000 0.000 0.500
Sc 0.000 0.500 0.000
Zr 0.500 0.000 0.000

---

DFT (PBEsol) results for a relaxed YZrSc2 crystal.

Lattice parameters (Å, degrees): 3.265 4.562 6.570 90.00 90.00 90.00
Sites, in units of the cell vectors:
Y 0.000 0.000 0.509
Sc 0.000 0.000 0.991
Sc 0.500 0.500 0.239
Zr 0.500 0.500 0.762

---

DFT (PBEsol) results for a relaxed Y2ZrSc crystal.

Lattice parameters (Å, degrees): 3.353 4.535 6.888 90.00 90.00 90.00
Sites, in units of the cell vectors:
Y 0.000 0.000 0.986
Y 0.500 0.500 0.271
Sc 0.500 0.500 0.729
Zr 0.000 0.000 0.514

---

DFT (PBEsol) results for a relaxed YZrSc2 crystal.

Lattice parameters (Å, degrees): 3.263 3.263 10.799 81.31 81.31 60.00
Sites, in units of the cell vectors:
Y 0.500 0.500 0.500
Sc 0.255 0.255 0.235
Sc 0.745 0.745 0.765
Zr 0.000 0.000 0.000

---

| no. | E_form (eV per atom) |
| --- | --- |
| 1 | -0.16 |
| 2 | -0.15 |
| 3 | 0.05 |
| 4 | 0.07 |
| 5 | 0.09 |
| 6 | 0.07 |
| 7 | 0.05 |
| 8 | 0.07 |
| 9 | 0.07 |
| 10 | 0.07 |
| 11 | 0.08 |
| 12 | 0.06 |